Record 1
This record from Alexandria via LeMat-Bulk describes a relaxed AcNb4O8 crystal. The functional is PBE.

Its energy is -8.86 eV/atom.

The structure belongs to space group R-3m (No. 166, hexagonal axes); the cell edges are 5.9733, 5.9733 and 19.0528 Å and the angles 90.00°, 90.00° and 120.00°. The inequivalent atoms are Ac at (0.0000, 0.0000, 0.0000), Nb at (0.0000, 0.0000, 0.5000), Nb at (0.0000, 0.5000, 0.5000), O at (0.0000, 0.0000, 0.2301) and O at (0.0020, 0.5010, 0.7641).

---

Record 2
This record from Alexandria via LeMat-Bulk describes a relaxed Ac6NbO12 crystal. The functional is PBE.

Its energy is -8.11 eV/atom.

The structure belongs to space group R-3 (No. 148, hexagonal axes); the cell edges are 10.6919, 10.6919 and 10.2942 Å and the angles 90.00°, 90.00° and 120.00°. The inequivalent atoms are Ac at (0.0534, 0.7937, 0.1547), Nb at (0.0000, 0.0000, 0.5000), O at (0.0409, 0.8120, 0.9056) and O at (0.0405, 0.8594, 0.3951).

---

Record 3
This record from Alexandria via LeMat-Bulk describes a relaxed AcNb2O7 crystal. The functional is PBE.

Its energy is -8.53 eV/atom.

The structure belongs to space group Cmmm (No. 65); the cell edges are 6.366, 10.428 and 3.923 Å and the angles 90.00°, 90.00° and 90.00°. The inequivalent atoms are Ac at (0.000, 0.000, 0.000), Nb at (0.000, 0.302, 0.500), O at (0.000, 0.280, 0.000), O at (0.000, 0.500, 0.500) and O at (0.193, 0.134, 0.500).

---

Uncorrected formation energy across the listed records, respectively: -2.394; -3.154; -2.633 eV/atom.
Spin magnetization across the listed records, respectively: 0.0000; 0.0635; 0.1002 μB/atom.